Entry from the Alexandria database: a geometry-optimized HfZrGe3 structure (PBE-GGA).

As for the formation energy: 0.709 eV per atom. The calculation puts the size of the total moment at 0.00 μB per cell. The calculation puts the total DFT energy (no corrections) at -28.807 eV per cell.

It has space group Pm-3m (No. 221), with a = 5.042 Å, b = 5.042 Å, c = 5.042 Å, α = 90.00°, β = 90.00° and γ = 90.00°. The distinct sites, in fractional coordinates, are Hf at (0.000, 0.000, 0.000), Zr at (0.500, 0.500, 0.500) and Ge at (0.000, 0.500, 0.500).

Entry from the Alexandria database: a geometry-optimized HfZrGe2 structure (PBE-GGA).

As for the formation energy: -0.413 eV per atom. The calculation puts the size of the total moment at 0.00 μB per cell. The calculation puts the total DFT energy (no corrections) at -117.556 eV per cell.

It has space group I-42d (No. 122), with a = 7.328 Å, b = 7.328 Å, c = 6.016 Å, α = 90.00°, β = 90.00° and γ = 90.00°. The distinct sites, in fractional coordinates, are Hf at (0.000, 0.000, 0.000), Zr at (0.000, 0.000, 0.500) and Ge at (0.248, 0.750, 0.125).

| no. | energy relative to the lowest polymorph listed for this composition (meV per atom) |
| --- | --- |
| 1 | 135 |
| 2 | 313 |